Entry 1:
Li3BO3 (PBE, relaxed); symmetry = C2/m; N(E_F) = 0.00 states/eV per cell; E_form (uncorrected) = -2160 meV per atom; energy above the lowest structure with this stoichiometry = 94 meV/atom; E = -6.06 eV per atom
1.0
5.084 -0.034 -0.005
-2.295 4.537 -0.005
-0.421 -0.679 4.911
O Li B
6 6 2
direct
0.886 0.886 0.169
0.438 0.159 0.262
0.562 0.841 0.738
0.841 0.562 0.738
0.114 0.114 0.831
0.159 0.438 0.262
0.257 0.743 0.000
0.619 0.619 0.358
0.205 0.795 0.500
0.795 0.205 0.500
0.381 0.381 0.642
0.743 0.257 0.000
0.172 0.172 0.149
0.828 0.828 0.851

***

Entry 2:
La2PrPt (PBE, relaxed); symmetry = P2_1/m; N(E_F) = 11.77 states/eV per cell; E_form = -0.610 eV per atom; energy above the lowest structure with this stoichiometry = 22 meV/atom; E = -5.78 eV per atom
1.0
-3.645 -1.296 0.915
4.279 -3.984 2.768
0.024 5.838 8.364
La Pr Pt
4 2 2
direct
0.863 0.725 0.562
0.137 0.275 0.062
0.863 0.725 0.938
0.137 0.275 0.438
0.580 0.159 0.750
0.420 0.841 0.250
0.277 0.552 0.750
0.723 0.448 0.250

***

Entry 3:
PmTm4Sc5 (PBE, relaxed); symmetry = C2/m; N(E_F) = 20.49 states/eV per cell; E_form = 0.266 eV per atom; energy above the lowest structure with this stoichiometry = 0 meV/atom; E = -5.16 eV per atom
1.0
5.140 0.000 -1.425
-1.509 9.808 -5.443
-0.722 -2.355 7.380
Tm Sc Pm
4 5 1
direct
0.622 0.376 0.244
0.879 0.133 0.758
0.378 0.624 0.756
0.121 0.867 0.242
0.850 0.404 0.700
0.160 0.210 0.320
0.840 0.790 0.680
0.150 0.596 0.300
0.500 0.500 0.000
0.500 0.000 0.000